# 1
# Nd3Er5Tm3

Crystalline Nd3Er5Tm3 at its relaxed geometry (PBE, Alexandria via LeMat-Bulk).

The space group is P-62m (No. 189) and the conventional cell measures 9.6450, 9.6450 and 5.3410 Å, with angles of 90.00, 90.00 and 120.00 degrees. The asymmetric unit holds Nd at (0.0000, 0.3669, 0.0000), Er at (0.0000, 0.7390, 0.0000), Er at (0.3333, 0.6667, 0.0000) and Tm at (0.0000, 0.5499, 0.5000).

The value obtained for the formation energy from the elements is 0.83 eV per atom. The calculation puts the calculated total energy at -3.762 eV per atom.


# 2
# Nd2Er3Tm3

Crystalline Nd2Er3Tm3 at its relaxed geometry (PBE, Alexandria via LeMat-Bulk).

The space group is Immm (No. 71) and the conventional cell measures 5.022, 5.022 and 19.966 Å, with angles of 90.00, 90.00 and 90.00 degrees. The asymmetric unit holds Nd at (0.000, 0.000, 0.250), Er at (0.000, 0.000, 0.000), Er at (0.000, 0.500, 0.122), Tm at (0.000, 0.000, 0.500) and Tm at (0.000, 0.500, 0.378).

The value obtained for the formation energy from the elements is 0.03 eV per atom. The calculation puts the calculated total energy at -4.551 eV per atom.


# 3
# Nd4Er11Tm9

Crystalline Nd4Er11Tm9 at its relaxed geometry (PBE, Alexandria via LeMat-Bulk).

The space group is Cmmm (No. 65) and the conventional cell measures 20.303, 21.025 and 3.500 Å, with angles of 90.00, 90.00 and 90.00 degrees. The asymmetric unit holds Nd at (0.135, 0.087, 0.000), Er at (0.000, 0.160, 0.500), Er at (0.000, 0.332, 0.500), Er at (0.000, 0.500, 0.500), Er at (0.241, 0.500, 0.500), Er at (0.246, 0.331, 0.500), Tm at (0.000, 0.000, 0.000), Tm at (0.121, 0.415, 0.000) and Tm at (0.124, 0.248, 0.000).

The value obtained for the formation energy from the elements is 0.06 eV per atom. The calculation puts the calculated total energy at -4.503 eV per atom.